1.
Entry from the Alexandria database: crystalline YTeSeN2 at its relaxed geometry (GGA-PBE).

**Energy**: -5.478 eV per atom
**Offset from the most stable computed form**: 0 meV per atom
**Symmetry**: No. 123
**Spin magnetization**: 0.000 μB/f.u.
**Formation energy from raw total energies**: 470 meV per atom
**Density of states at the Fermi level**: 2.76 states/eV/cell

Lattice parameters (Å, degrees): 4.164 4.164 5.326 90.00 90.00 90.00
Fractional positions:
1 Y 0.000 0.000 0.000
2 Te 0.500 0.500 0.500
3 Se 0.500 0.500 0.000
4 N 0.000 0.500 0.500
5 N 0.500 0.000 0.500

=====

2.
Entry from the Alexandria database: crystalline Re2RhSe at its relaxed geometry (GGA-PBE).

**Energy**: -8.751 eV per atom
**Symmetry**: No. 99
**Spin magnetization**: 0.000 μB/f.u.
**Formation energy from raw total energies**: 182 meV per atom
**Density of states at the Fermi level**: 3.16 states/eV/cell

Lattice parameters (Å, degrees): 2.901 2.901 7.244 90.00 90.00 90.00
Fractional positions:
1 Re 0.000 0.000 0.000
2 Re 0.500 0.500 0.246
3 Rh 0.000 0.000 0.498
4 Se 0.500 0.500 0.767

=====

3.
Entry from the Alexandria database: crystalline TbTh2Zr at its relaxed geometry (GGA-PBE).

**Energy**: -6.914 eV per atom
**Offset from the most stable computed form**: 0 meV per atom
**Symmetry**: No. 123
**Spin magnetization**: 0.000 μB/f.u.
**Density of states at the Fermi level**: 5.88 states/eV/cell
**E_form**: 0.090 eV per atom

Lattice parameters (Å, degrees): 3.483 3.483 9.844 90.00 90.00 90.00
Fractional positions:
1 Tb 0.000 0.000 0.000
2 Th 0.500 0.500 0.264
3 Th 0.500 0.500 0.736
4 Zr 0.000 0.000 0.500

=====

4.
Entry from the Alexandria database: crystalline LaTl2Cr at its relaxed geometry (GGA-PBE).

**Energy**: -4.738 eV per atom
**Symmetry**: No. 123
**Spin magnetization**: 3.560 μB/f.u.
**Density of states at the Fermi level**: 3.27 states/eV/cell
**E_form**: 0.083 eV per atom

Lattice parameters (Å, degrees): 3.659 3.659 7.649 90.00 90.00 90.00
Fractional positions:
1 La 0.000 0.000 0.000
2 Tl 0.500 0.500 0.292
3 Tl 0.500 0.500 0.708
4 Cr 0.000 0.000 0.500

=====

5.
Entry from the Alexandria database: crystalline GdScCoRh at its relaxed geometry (GGA-PBE).

**Energy**: -9.224 eV per atom
**Symmetry**: No. 216
**Spin magnetization**: 6.497 μB/f.u.
**Density of states at the Fermi level**: 8.20 states/eV/cell
**E_form**: -0.507 eV per atom

Lattice parameters (Å, degrees): 6.618 6.618 6.618 90.00 90.00 90.00
Fractional positions:
1 Gd 0.000 0.000 0.000
2 Gd 0.000 0.500 0.500
3 Gd 0.500 0.000 0.500
4 Gd 0.500 0.500 0.000
5 Sc 0.000 0.000 0.500
6 Sc 0.000 0.500 0.000
7 Sc 0.500 0.000 0.000
8 Sc 0.500 0.500 0.500
9 Co 0.250 0.250 0.250
10 Co 0.250 0.750 0.750
11 Co 0.750 0.250 0.750
12 Co 0.750 0.750 0.250
13 Rh 0.250 0.250 0.750
14 Rh 0.250 0.750 0.250
15 Rh 0.750 0.250 0.250
16 Rh 0.750 0.750 0.750

=====

6.
Entry from the Alexandria database: crystalline SbPdS at its relaxed geometry (GGA-PBE).

**Energy**: -4.739 eV per atom
**Symmetry**: No. 156
**Spin magnetization**: 0.000 μB/f.u.
**Formation energy from raw total energies**: -258 meV per atom
**Density of states at the Fermi level**: 0.94 states/eV/cell

Lattice parameters (Å, degrees): 3.771 3.771 4.838 90.00 90.00 120.00
Fractional positions:
1 Sb 0.000 0.000 0.000
2 Pd 0.667 0.333 0.318
3 S 0.333 0.667 0.593